(1)
# RbZrRe3 | Alexandria via LeMat-Bulk | PBE | optimized geometry
# energy relative to the lowest polymorph listed for this composition = 0.8546 eV per atom
# calculated density = 12.0 g/cm3
data_RbZrRe3
_chemical_formula_sum 'Rb1 Zr1 Re3'
_cell_length_a 4.6710
_cell_length_b 4.6710
_cell_length_c 4.6710
_cell_angle_alpha 90.00
_cell_angle_beta 90.00
_cell_angle_gamma 90.00
_symmetry_space_group_name_H-M 'P m -3 m'
_symmetry_Int_Tables_number 221
_symmetry_space_group_name_Hall '-P 4 2 3'
loop_
_atom_site_label
_atom_site_type_symbol
_atom_site_fract_x
_atom_site_fract_y
_atom_site_fract_z
_atom_site_occupancy
Rb1 Rb 0.0000 0.0000 0.0000 1
Zr1 Zr 0.5000 0.5000 0.5000 1
Re1 Re 0.0000 0.0000 0.5000 1


(2)
# RbZrRe3 | Alexandria via LeMat-Bulk | PBE | optimized geometry
# energy relative to the lowest polymorph listed for this composition = 0.0000 eV per atom
# calculated density = 9.5 g/cm3
data_RbZrRe3
_chemical_formula_sum 'Rb1 Zr1 Re3'
_cell_length_a 5.0505
_cell_length_b 5.0505
_cell_length_c 5.0505
_cell_angle_alpha 90.00
_cell_angle_beta 90.00
_cell_angle_gamma 90.00
_symmetry_space_group_name_H-M 'P m -3 m'
_symmetry_Int_Tables_number 221
_symmetry_space_group_name_Hall '-P 4 2 3'
loop_
_atom_site_label
_atom_site_type_symbol
_atom_site_fract_x
_atom_site_fract_y
_atom_site_fract_z
_atom_site_occupancy
Rb1 Rb 0.0000 0.0000 0.0000 1
Zr1 Zr 0.5000 0.5000 0.5000 1
Re1 Re 0.0000 0.5000 0.5000 1


(3)
# RbZrRe2 | Alexandria via LeMat-Bulk | PBE | optimized geometry
# energy relative to the lowest polymorph listed for this composition = 0.1066 eV per atom
# calculated density = 11.3 g/cm3
data_RbZrRe2
_chemical_formula_sum 'Rb4 Zr4 Re8'
_cell_length_a 6.8521
_cell_length_b 6.8521
_cell_length_c 6.8521
_cell_angle_alpha 90.00
_cell_angle_beta 90.00
_cell_angle_gamma 90.00
_symmetry_space_group_name_H-M 'F m -3 m'
_symmetry_Int_Tables_number 225
_symmetry_space_group_name_Hall '-F 4 2 3'
loop_
_atom_site_label
_atom_site_type_symbol
_atom_site_fract_x
_atom_site_fract_y
_atom_site_fract_z
_atom_site_occupancy
Rb1 Rb 0.0000 0.0000 0.0000 1
Zr1 Zr 0.0000 0.0000 0.5000 1
Re1 Re 0.2500 0.2500 0.2500 1


- energy relative to the lowest polymorph listed for this composition of number 2 (RbZrRe3)?
  0.0000 eV per atom


- Number 3 is which compound?
  RbZrRe2


- What is the formula in the second record?
  RbZrRe3